Compound: MgH2Se
Source: Alexandria via LeMat-Bulk
Functional: GGA-PBE
Structure: relaxed

abc: 4.2981 5.4500 4.3030
angles: 90.00 119.46 90.00
Closest atoms and distances in Å follow each position.
Fractional coordinates of all 4 atoms:
Mg 0.0000 0.0000 0.0000  3 Se 2.49, 4 H 2.77
H 0.0506 0.5000 0.1267  1 H 0.76
H 0.8745 0.5000 0.9525  1 H 0.76
Se 0.3346 0.0000 0.6646  3 Mg 2.49

Spin magnetization   0.0 μB/cell
Distance to the lowest polymorph of the same formula   0.000 eV per atom